Record 1
The following is a DFT calculation (PBE-GGA) of a geometry-optimized LiNiSb structure.

```
data_LiNiSb
_cell_length_a 4.3229
_cell_length_b 4.3229
_cell_length_c 3.1618
_cell_angle_alpha 90.00
_cell_angle_beta 90.00
_cell_angle_gamma 120.00
_symmetry_space_group_name_H-M 'P 3 m 1'
_symmetry_Int_Tables_number 156
loop_
_symmetry_equiv_pos_as_xyz
'x,y,z'
'-y,x-y,z'
'-x+y,-x,z'
'-y,-x,z'
'-x+y,y,z'
'x,x-y,z'
loop_
_atom_site_label
_atom_site_type_symbol
_atom_site_fract_x
_atom_site_fract_y
_atom_site_fract_z
Li1 Li 0.0000 0.0000 0.0000
Ni1 Ni 0.3333 0.6667 0.5017
Sb1 Sb 0.6667 0.3333 0.5003
```

Summary:
The calculated total energy is -4.2019 eV/atom.

=====

Record 2
The following is a DFT calculation (PBE-GGA) of a geometry-optimized LiNiSb3 structure.

```
data_LiNiSb3
_cell_length_a 5.064
_cell_length_b 5.064
_cell_length_c 5.064
_cell_angle_alpha 90.00
_cell_angle_beta 90.00
_cell_angle_gamma 90.00
_symmetry_space_group_name_H-M 'P m -3 m'
_symmetry_Int_Tables_number 221
_symmetry_space_group_name_Hall '-P 4 2 3'
loop_
_atom_site_label
_atom_site_type_symbol
_atom_site_fract_x
_atom_site_fract_y
_atom_site_fract_z
Li1 Li 0.000 0.000 0.000
Ni1 Ni 0.500 0.500 0.500
Sb1 Sb 0.000 0.500 0.500
```

Summary:
The calculated total energy is -3.8566 eV/atom. The energy above the lowest structure with this stoichiometry comes out at 0.000 eV/atom.

=====

no.,magnetic moment (μB per formula unit)
1,0.0
2,0.0